Below is a relaxed structure of InIr2, with properties calculated at the PBE level.

Computed properties:
- Space-group type: No. 139
- Size of the total moment: 0.000 μB/cell
- Energy of formation from the pure elements: 0.114 eV/atom

Cell lengths 6.241, 6.241, 6.241 Å; angles 153.28, 153.28, 38.15 degrees
Positions (direct):
1 In 0.500 0.500 0.000
2 Ir 0.174 0.174 0.000
3 Ir 0.826 0.826 0.000

=====

Below is a relaxed structure of Ta2Nb2W3, with properties calculated at the PBE level.

Computed properties:
- Space-group type: No. 2
- Size of the total moment: 0.000 μB/cell
- Offset from the most stable computed form: 53 meV per atom
- Energy of formation from the pure elements: 0.332 eV/atom

Cell lengths 4.520, 7.211, 4.492 Å; angles 71.78, 89.96, 108.51 degrees
Positions (direct):
1 Ta 0.622 0.245 0.878
2 Ta 0.378 0.755 0.122
3 Nb 0.876 0.754 0.623
4 Nb 0.124 0.246 0.377
5 W 0.000 0.000 0.000
6 W 0.751 0.502 0.249
7 W 0.249 0.498 0.751

=====

Below is a relaxed structure of LaTlSb2, with properties calculated at the PBE level.

Computed properties:
- Space-group type: No. 123
- Size of the total moment: 0.000 μB/cell
- Energy relative to the elements, uncorrected: -597 meV per atom
- Offset from the most stable computed form: 11 meV per atom

Cell lengths 4.635, 4.997, 4.997 Å; angles 90.00, 90.00, 90.00 degrees
Positions (direct):
1 Sb 0.000 0.000 0.500
2 Sb 0.000 0.500 0.000
3 Tl 0.500 0.500 0.500
4 La 0.500 0.000 0.000

=====

Below is a relaxed structure of PaZnSi2Rh5, with properties calculated at the PBE level.

Computed properties:
- Space-group type: No. 123
- Size of the total moment: 0.000 μB/cell
- Energy relative to the elements, uncorrected: -666 meV per atom

Cell lengths 4.079, 4.079, 8.712 Å; angles 90.00, 90.00, 90.00 degrees
Positions (direct):
1 Pa 0.000 0.000 0.500
2 Zn 0.000 0.000 0.000
3 Si 0.500 0.500 0.132
4 Si 0.500 0.500 0.868
5 Rh 0.000 0.500 0.262
6 Rh 0.500 0.000 0.262
7 Rh 0.000 0.500 0.738
8 Rh 0.500 0.000 0.738
9 Rh 0.500 0.500 0.500

=====

Below is a relaxed structure of KCrHgPd2, with properties calculated at the PBE level.

Computed properties:
- Space-group type: No. 123
- Size of the total moment: 4.030 μB/cell
- Energy of formation from the pure elements: 0.690 eV/atom

Cell lengths 4.820, 6.069, 4.820 Å; angles 90.00, 90.00, 90.00 degrees
Site moments in Bohr magnetons follow the coordinates.
Positions (direct):
1 Cr 0.000 0.000 0.000  3.44
2 K 0.000 0.500 0.000  0.02
3 Hg 0.500 0.500 0.500  0.01
4 Pd 0.000 0.000 0.500  0.04
5 Pd 0.500 0.000 0.000  0.05

=====

Below is a relaxed structure of ScAsPb2, with properties calculated at the PBE level.

Computed properties:
- Space-group type: No. 44
- Size of the total moment: 0.000 μB/cell
- Energy of formation from the pure elements: -0.244 eV/atom

Cell lengths 6.273, 6.273, 6.273 Å; angles 145.92, 131.75, 60.39 degrees
Positions (direct):
1 As 0.280 0.780 0.500
2 Pb 0.017 0.017 0.000
3 Pb 0.739 0.239 0.500
4 Sc 0.463 0.463 0.000

=====

Below is a relaxed structure of Rb2NaZn2, with properties calculated at the PBE level.

Computed properties:
- Space-group type: No. 127
- Size of the total moment: 0.000 μB/cell
- Offset from the most stable computed form: 91 meV per atom
- Energy of formation from the pure elements: 0.217 eV/atom

Cell lengths 10.526, 10.526, 3.895 Å; angles 90.00, 90.00, 90.00 degrees
Positions (direct):
1 Na 0.000 0.000 0.000
2 Na 0.500 0.500 0.000
3 Zn 0.089 0.589 0.500
4 Zn 0.589 0.911 0.500
5 Zn 0.911 0.411 0.500
6 Zn 0.411 0.089 0.500
7 Rb 0.307 0.807 0.000
8 Rb 0.807 0.693 0.000
9 Rb 0.693 0.193 0.000
10 Rb 0.193 0.307 0.000

=====

Below is a relaxed structure of Ba2Mg2Cu, with properties calculated at the PBE level.

Computed properties:
- Space-group type: No. 127
- Size of the total moment: 0.000 μB/cell
- Energy of formation from the pure elements: 0.146 eV/atom

Cell lengths 7.498, 7.498, 5.855 Å; angles 90.00, 90.00, 90.00 degrees
Positions (direct):
1 Mg 0.354 0.854 0.000
2 Mg 0.854 0.646 0.000
3 Mg 0.646 0.146 0.000
4 Mg 0.146 0.354 0.000
5 Ba 0.177 0.677 0.500
6 Ba 0.677 0.823 0.500
7 Ba 0.823 0.323 0.500
8 Ba 0.323 0.177 0.500
9 Cu 0.000 0.000 0.000
10 Cu 0.500 0.500 0.000

=====

Below is a relaxed structure of La2MoPt, with properties calculated at the PBE level.

Computed properties:
- Space-group type: No. 160
- Size of the total moment: 0.014 μB/cell
- Offset from the most stable computed form: 59 meV per atom
- Energy of formation from the pure elements: -0.159 eV/atom

Cell lengths 7.199, 7.199, 7.199 Å; angles 35.84, 35.84, 35.84 degrees
Positions (direct):
1 La 0.029 0.029 0.029
2 La 0.222 0.222 0.222
3 Mo 0.453 0.453 0.453
4 Pt 0.796 0.796 0.796

=====

Below is a relaxed structure of Nd3Er2Cd6, with properties calculated at the PBE level.

Computed properties:
- Space-group type: No. 139
- Size of the total moment: 0.000 μB/cell
- Energy of formation from the pure elements: 0.000 eV/atom

Cell lengths 4.289, 4.289, 17.963 Å; angles 96.86, 96.86, 90.00 degrees
Positions (direct):
1 Nd 0.000 0.000 0.000
2 Nd 0.818 0.818 0.636
3 Nd 0.182 0.182 0.364
4 Er 0.366 0.366 0.732
5 Er 0.634 0.634 0.268
6 Cd 0.070 0.570 0.141
7 Cd 0.570 0.070 0.141
8 Cd 0.930 0.430 0.859
9 Cd 0.430 0.930 0.859
10 Cd 0.725 0.725 0.450
11 Cd 0.275 0.275 0.550

=====

Below is a relaxed structure of ZrBi, with properties calculated at the PBE level.

Computed properties:
- Space-group type: No. 63
- Size of the total moment: 0.000 μB/cell
- Energy of formation from the pure elements: -0.378 eV/atom

Cell lengths 3.879, 5.785, 14.534 Å; angles 90.00, 90.00, 109.59 degrees
Positions (direct):
1 Zr 0.607 0.215 0.250
2 Zr 0.393 0.785 0.750
3 Zr 0.071 0.142 0.610
4 Zr 0.929 0.858 0.390
5 Zr 0.929 0.858 0.110
6 Zr 0.071 0.142 0.890
7 Bi 0.321 0.643 0.250
8 Bi 0.679 0.357 0.750
9 Bi 0.359 0.717 0.550
10 Bi 0.641 0.283 0.450
11 Bi 0.641 0.283 0.050
12 Bi 0.359 0.717 0.950

=====

Below is a relaxed structure of CuPRuCl2, with properties calculated at the PBE level.

Computed properties:
- Space-group type: No. 123
- Size of the total moment: 3.203 μB/cell
- Energy relative to the elements, uncorrected: 910 meV per atom
- Offset from the most stable computed form: 442 meV per atom

Cell lengths 4.486, 4.486, 4.958 Å; angles 90.00, 90.00, 90.00 degrees
Site moments in Bohr magnetons follow the coordinates.
Positions (direct):
1 Ru 0.500 0.500 0.500  2.72
2 P 0.000 0.000 0.500  0.02
3 Cu 0.000 0.000 0.000  -0.02
4 Cl 0.000 0.500 0.000  0.07
5 Cl 0.500 0.000 0.000  0.07